# 1
A geometry-optimized ZnCrRu2N structure, computed with PBE.

Lattice parameters (Å, degrees): 4.048 4.048 3.850 90.00 90.00 90.00
Space group P4/mmm (No. 123)
Asymmetric unit:
Zn 0.000 0.000 0.000 x1
Cr 0.500 0.500 0.000 x1
Ru 0.000 0.500 0.500 x2
N 0.500 0.500 0.500 x1

## Properties
The value obtained for the total energy is -7.595 eV/atom. For the magnetic moment, the calculation gives 2.44 Bohr magnetons per cell.


# 2
A geometry-optimized NbNiPd structure, computed with PBE.

Lattice parameters (Å, degrees): 2.855 3.712 8.338 90.00 90.00 90.00
Space group Imm2 (No. 44)
Asymmetric unit:
Nb 0.000 0.000 0.000 x2
Ni 0.000 0.000 0.343 x2
Pd 0.000 0.000 0.677 x2

## Properties
The value obtained for the total energy is -7.315 eV/atom. The formation enthalpy at 0 K is -0.30 eV per atom. Its offset from the most stable computed form is 0.038 eV/atom. For the magnetic moment, the calculation gives 0.00 Bohr magnetons per cell.


# 3
A geometry-optimized MnGa3Pt12 structure, computed with PBE.

Lattice parameters (Å, degrees): 3.952 3.952 15.678 90.00 90.00 90.00
Space group P4/mmm (No. 123)
Asymmetric unit:
Mn 0.000 0.000 0.000 x1
Ga 0.000 0.000 0.250 x2
Ga 0.000 0.000 0.500 x1
Pt 0.000 0.500 0.124 x4
Pt 0.000 0.500 0.375 x4
Pt 0.500 0.500 0.000 x1
Pt 0.500 0.500 0.249 x2
Pt 0.500 0.500 0.500 x1

## Properties
The value obtained for the total energy is -6.094 eV/atom. The formation enthalpy at 0 K is -0.42 eV per atom. For the magnetic moment, the calculation gives 4.11 Bohr magnetons per cell.


# 4
A geometry-optimized Cd2HgAu structure, computed with PBE.

Lattice parameters (Å, degrees): 5.017 3.137 6.043 90.00 113.15 90.00
Space group P2/m (No. 10)
Asymmetric unit:
Cd 0.000 0.000 0.000 x1
Cd 0.000 0.500 0.500 x1
Hg 0.500 0.000 0.500 x1
Au 0.500 0.500 0.000 x1

## Properties
The value obtained for the total energy is -1.357 eV/atom. The formation enthalpy at 0 K is -0.01 eV per atom. Its offset from the most stable computed form is 0.077 eV/atom. For the magnetic moment, the calculation gives 0.00 Bohr magnetons per cell.


# 5
A geometry-optimized Pa4Tc2Ge structure, computed with PBE.

Lattice parameters (Å, degrees): 5.810 7.730 8.133 61.65 80.34 69.30
Space group P1 (No. 1)
Asymmetric unit:
Pa 0.000 0.000 0.000 x1
Pa 0.026 0.187 0.241 x1
Pa 0.108 0.597 0.876 x1
Pa 0.458 0.262 0.759 x1
Pa 0.500 0.317 0.367 x1
Pa 0.527 0.746 0.124 x1
Pa 0.608 0.789 0.490 x1
Pa 0.958 0.337 0.607 x1
Tc 0.017 0.570 0.238 x1
Tc 0.479 0.920 0.737 x1
Tc 0.517 0.126 0.128 x1
Tc 0.979 0.975 0.628 x1
Ge 0.159 0.707 0.450 x1
Ge 0.659 0.475 0.915 x1

## Properties
The value obtained for the total energy is -9.269 eV/atom. The formation enthalpy at 0 K is -0.22 eV per atom. For the magnetic moment, the calculation gives 0.00 Bohr magnetons per cell.


# 6
A geometry-optimized Sr9Sn3O2 structure, computed with PBE.

Lattice parameters (Å, degrees): 7.4337 7.4337 9.1070 90.00 90.00 120.00
Space group P-3m1 (No. 164)
Asymmetric unit:
Sr 0.0000 0.5000 0.0000 x3
Sr 0.1707 0.3415 0.6727 x6
Sn 0.0000 0.0000 0.0000 x1
Sn 0.3333 0.6667 0.3323 x2
O 0.3333 0.6667 0.8367 x2

## Properties
The value obtained for the total energy is -3.818 eV/atom. For the magnetic moment, the calculation gives 0.00 Bohr magnetons per cell.


# 7
A geometry-optimized Mg2AlRu structure, computed with PBE.

Lattice parameters (Å, degrees): 4.298 3.374 4.456 90.00 90.13 90.00
Space group P2/m (No. 10)
Asymmetric unit:
Mg 0.000 0.000 0.000 x1
Mg 0.500 0.500 0.000 x1
Al 0.000 0.500 0.500 x1
Ru 0.500 0.000 0.500 x1

## Properties
The value obtained for the total energy is -4.174 eV/atom. The formation enthalpy at 0 K is -0.12 eV per atom. For the magnetic moment, the calculation gives 0.00 Bohr magnetons per cell.


# 8
A geometry-optimized PuGa2Ag structure, computed with PBE.

Lattice parameters (Å, degrees): 5.252 5.252 2.883 90.00 90.00 90.00
Space group P4/mmm (No. 123)
Asymmetric unit:
Pu 0.000 0.000 0.000 x1
Ga 0.000 0.500 0.500 x2
Ag 0.500 0.500 0.000 x1

## Properties
The value obtained for the total energy is -5.907 eV/atom. The formation enthalpy at 0 K is -0.10 eV per atom. Its offset from the most stable computed form is 0.186 eV/atom. For the magnetic moment, the calculation gives 5.21 Bohr magnetons per cell.


# 9
A geometry-optimized TbSm2I8 structure, computed with PBE.

Lattice parameters (Å, degrees): 14.902 11.562 7.261 90.00 91.70 90.00
Space group C2/m (No. 12)
Asymmetric unit:
Tb 0.000 0.000 0.000 x2
Sm 0.188 0.000 0.646 x4
I 0.077 0.200 0.768 x8
I 0.124 0.500 0.246 x4
I 0.182 0.000 0.227 x4

## Properties
The value obtained for the total energy is -3.626 eV/atom. For the magnetic moment, the calculation gives 2.08 Bohr magnetons per cell.


# 10
A geometry-optimized KRuPt4 structure, computed with PBE.

Lattice parameters (Å, degrees): 7.602 7.602 7.602 90.00 90.00 90.00
Space group F-43m (No. 216)
Asymmetric unit:
K 0.000 0.000 0.000 x4
Ru 0.250 0.250 0.250 x4
Pt 0.125 0.125 0.625 x16

## Properties
The value obtained for the total energy is -5.416 eV/atom. The formation enthalpy at 0 K is 0.34 eV per atom. For the magnetic moment, the calculation gives 13.24 Bohr magnetons per cell.


# 11
A geometry-optimized LiEuSnAu structure, computed with PBE.

Lattice parameters (Å, degrees): 7.057 7.057 7.057 90.00 90.00 90.00
Space group F-43m (No. 216)
Asymmetric unit:
Li 0.000 0.000 0.000 x4
Eu 0.250 0.250 0.750 x4
Sn 0.250 0.250 0.250 x4
Au 0.000 0.000 0.500 x4

## Properties
The value obtained for the total energy is -5.467 eV/atom. The formation enthalpy at 0 K is -0.60 eV per atom. For the magnetic moment, the calculation gives 28.07 Bohr magnetons per cell.


# 12
A geometry-optimized LiUTe3Au structure, computed with PBE.

Lattice parameters (Å, degrees): 7.927 4.084 10.091 90.00 102.32 90.00
Space group P2_1/m (No. 11)
Asymmetric unit:
Li 0.175 0.250 0.159 x2
U 0.274 0.750 0.714 x2
Te 0.089 0.250 0.857 x2
Te 0.166 0.250 0.472 x2
Te 0.443 0.750 0.160 x2
Au 0.393 0.750 0.422 x2

## Properties
The value obtained for the total energy is -4.890 eV/atom. For the magnetic moment, the calculation gives 3.91 Bohr magnetons per cell.


# 13
A geometry-optimized CoGeAs structure, computed with PBE.

Lattice parameters (Å, degrees): 5.643 5.952 6.173 90.00 117.11 90.00
Space group P2_1/c (No. 14)
Asymmetric unit:
Co 0.243 0.009 0.497 x4
Ge 0.342 0.646 0.683 x4
As 0.161 0.126 0.822 x4

## Properties
The value obtained for the total energy is -5.667 eV/atom. The formation enthalpy at 0 K is -0.21 eV per atom. Its offset from the most stable computed form is 0.000 eV/atom. For the magnetic moment, the calculation gives 0.72 Bohr magnetons per cell.


# 14
A geometry-optimized ZnAsIr2 structure, computed with PBE.

Lattice parameters (Å, degrees): 2.934 4.290 4.853 90.00 90.00 90.00
Space group Pmmm (No. 47)
Asymmetric unit:
Zn 0.000 0.000 0.000 x1
As 0.500 0.000 0.500 x1
Ir 0.000 0.500 0.500 x1
Ir 0.500 0.500 0.000 x1

## Properties
The value obtained for the total energy is -5.723 eV/atom. The formation enthalpy at 0 K is 0.19 eV per atom. Its offset from the most stable computed form is 0.202 eV/atom. For the magnetic moment, the calculation gives 0.00 Bohr magnetons per cell.


# 15
A geometry-optimized YThAl structure, computed with PBE.

Lattice parameters (Å, degrees): 3.460 3.460 13.809 90.00 90.00 90.00
Space group I4mm (No. 107)
Asymmetric unit:
Y 0.000 0.000 0.000 x2
Th 0.000 0.000 0.295 x2
Al 0.000 0.000 0.643 x2

## Properties
The value obtained for the total energy is -6.047 eV/atom. The formation enthalpy at 0 K is -0.17 eV per atom. Its offset from the most stable computed form is 0.000 eV/atom. For the magnetic moment, the calculation gives 0.00 Bohr magnetons per cell.


# 16
A geometry-optimized PmSm2NpS4 structure, computed with PBE.

Lattice parameters (Å, degrees): 6.916 3.986 6.921 90.00 109.35 90.00
Space group P2/m (No. 10)
Asymmetric unit:
Pm 0.000 0.000 0.000 x1
Sm 0.500 0.000 0.500 x1
Sm 0.500 0.500 0.000 x1
Np 0.000 0.500 0.500 x1
S 0.245 0.000 0.744 x2
S 0.249 0.500 0.254 x2

## Properties
The value obtained for the total energy is -7.317 eV/atom. For the magnetic moment, the calculation gives 4.48 Bohr magnetons per cell.


# 17
A geometry-optimized PmZnInNi structure, computed with PBE.

Lattice parameters (Å, degrees): 6.772 6.772 6.772 90.00 90.00 90.00
Space group F-43m (No. 216)
Asymmetric unit:
Pm 0.000 0.000 0.000 x4
Zn 0.250 0.250 0.750 x4
In 0.000 0.000 0.500 x4
Ni 0.250 0.250 0.250 x4

## Properties
The value obtained for the total energy is -3.962 eV/atom. The formation enthalpy at 0 K is -0.33 eV per atom. For the magnetic moment, the calculation gives 0.00 Bohr magnetons per cell.


# 18
A geometry-optimized Ni2PbAu structure, computed with PBE.

Lattice parameters (Å, degrees): 6.399 6.399 6.399 90.00 90.00 90.00
Space group F-43m (No. 216)
Asymmetric unit:
Ni 0.000 0.000 0.000 x4
Ni 0.250 0.250 0.250 x4
Pb 0.250 0.250 0.750 x4
Au 0.000 0.000 0.500 x4

## Properties
The value obtained for the total energy is -4.307 eV/atom. The formation enthalpy at 0 K is 0.33 eV per atom. For the magnetic moment, the calculation gives 0.00 Bohr magnetons per cell.


# 19
A geometry-optimized YThSe3 structure, computed with PBE.

Lattice parameters (Å, degrees): 7.802 4.142 15.838 90.00 90.00 90.00
Space group Pnma (No. 62)
Asymmetric unit:
Y 0.235 0.250 0.044 x4
Th 0.124 0.750 0.295 x4
Se 0.008 0.750 0.107 x4
Se 0.123 0.250 0.434 x4
Se 0.156 0.750 0.721 x4

## Properties
The value obtained for the total energy is -6.645 eV/atom. Its offset from the most stable computed form is 0.000 eV/atom. For the magnetic moment, the calculation gives 0.00 Bohr magnetons per cell.


# 20
A geometry-optimized PmAlZn2Ni4 structure, computed with PBE.

Lattice parameters (Å, degrees): 4.0822 4.0822 24.6548 90.00 90.00 120.00
Space group R-3m (No. 166, hexagonal axes)
Asymmetric unit:
Pm 0.0000 0.0000 0.0000 x3
Al 0.0000 0.0000 0.5000 x3
Zn 0.0000 0.0000 0.2380 x6
Ni 0.0000 0.0000 0.1314 x6
Ni 0.0000 0.0000 0.4053 x6

## Properties
The value obtained for the total energy is -4.615 eV/atom. The formation enthalpy at 0 K is -0.34 eV per atom. For the magnetic moment, the calculation gives 0.00 Bohr magnetons per cell.